# Ce4SiPCl2 | Alexandria | PBE | relaxed
data_Ce4SiPCl2
_chemical_formula_sum 'Ce4 Si1 P1 Cl2'
_symmetry_space_group_name_H-M 'P 1'
_symmetry_Int_Tables_number 1
_cell_length_a 6.998
_cell_length_b 4.146
_cell_length_c 7.175
_cell_angle_alpha 90.00
_cell_angle_beta 110.05
_cell_angle_gamma 90.00
loop_
_symmetry_equiv_pos_as_xyz
'x,y,z'
loop_
_atom_site_label
_atom_site_fract_x
_atom_site_fract_y
_atom_site_fract_z
_atom_site_occupancy
Ce1 0.239 0.000 0.242 1
Ce2 0.242 0.500 0.752 1
Ce3 0.758 0.500 0.248 1
Ce4 0.761 0.000 0.758 1
Si1 0.000 0.000 0.500 1
P1 0.000 0.500 0.000 1
Cl1 0.500 0.000 0.000 1
Cl2 0.500 0.500 0.500 1
# E   -6.10 eV per atom
# SG   P2/m (10)

# Zr12Tl3Sb | Alexandria | PBE | relaxed
data_Zr12Tl3Sb
_chemical_formula_sum 'Zr12 Tl3 Sb1'
_symmetry_space_group_name_H-M 'P 1'
_symmetry_Int_Tables_number 1
_cell_length_a 5.652
_cell_length_b 5.657
_cell_length_c 11.310
_cell_angle_alpha 90.00
_cell_angle_beta 90.00
_cell_angle_gamma 90.00
loop_
_symmetry_equiv_pos_as_xyz
'x,y,z'
loop_
_atom_site_label
_atom_site_fract_x
_atom_site_fract_y
_atom_site_fract_z
_atom_site_occupancy
Zr1 0.000 0.000 0.124 1
Zr2 0.000 0.000 0.374 1
Zr3 0.000 0.000 0.626 1
Zr4 0.000 0.000 0.876 1
Zr5 0.250 0.500 0.253 1
Zr6 0.250 0.500 0.747 1
Zr7 0.500 0.249 0.000 1
Zr8 0.500 0.249 0.500 1
Zr9 0.500 0.751 0.000 1
Zr10 0.500 0.751 0.500 1
Zr11 0.750 0.500 0.253 1
Zr12 0.750 0.500 0.747 1
Tl1 0.000 0.500 0.000 1
Tl2 0.500 0.000 0.250 1
Tl3 0.500 0.000 0.750 1
Sb1 0.000 0.500 0.500 1
# E   -7.30 eV per atom
# SG   Pmmm (47)

Record-wise ΔE_f (raw) values, in eV/atom: -1.319; -0.190